A plane-wave DFT calculation with GGA-PBEsol was carried out for an optimized crystal structure of KReMo2.

Its density of states at the Fermi level is 3.1 states/eV/cell. The space group is No. 35. The density comes out at 9.65 g/cm³. The total energy is -0.6430 Ry per atom.

CIF file:
```
data_KReMo2
_chemical_formula_sum 'K1 Re1 Mo2'
_space_group_name_H-M_alt 'P 1'
_space_group_IT_number 1
_cell_length_a 2.723
_cell_length_b 2.723
_cell_length_c 10.312
_cell_angle_alpha 90.00
_cell_angle_beta 90.00
_cell_angle_gamma 110.13
loop_
_space_group_symop_operation_xyz
'x,y,z'
loop_
_atom_site_label
_atom_site_fract_x
_atom_site_fract_y
_atom_site_fract_z
K1 0.500 0.500 0.258
Mo1 0.000 0.000 0.954
Mo2 0.500 0.500 0.747
Re1 0.000 0.000 0.541
```